Compound: CePuScTi
Source: Alexandria
Functional: PBE-GGA
Structure: relaxed

Properties
symmetry = F-43m (216)
formation energy from the elements = 249 meV per atom
density of states at the Fermi level = 12.0 states/eV per cell

abc: 5.1271 5.1271 5.1271
angles: 60.00 60.00 60.00
With the nearest neighbours (Å) after each atom.
Positions (direct):
Sc  0.7500  0.7500  0.7500  4 Pu 3.14, 4 Ce 3.14
Ti  0.2500  0.2500  0.2500  4 Ce 3.14, 4 Pu 3.14
Ce  0.5000  0.5000  0.5000  4 Sc 3.14, 4 Ti 3.14
Pu  0.0000  0.0000  0.0000  4 Sc 3.14, 4 Ti 3.14



Compound: CePuScTl
Source: Alexandria
Functional: PBE-GGA
Structure: relaxed

Properties
symmetry = F-43m (216)
formation energy from the elements = 15 meV per atom
density of states at the Fermi level = 8.7 states/eV per cell

abc: 5.2241 5.2241 5.2241
angles: 60.00 60.00 60.00
With the nearest neighbours (Å) after each atom.
Positions (direct):
Sc  0.5000  0.5000  0.5000  4 Ce 3.20, 4 Tl 3.20
Tl  0.7500  0.7500  0.7500  4 Sc 3.20, 4 Pu 3.20
Ce  0.2500  0.2500  0.2500  4 Sc 3.20, 4 Pu 3.20
Pu  0.0000  0.0000  0.0000  4 Tl 3.20, 4 Ce 3.20



Compound: CeTmPuSc
Source: Alexandria
Functional: PBE-GGA
Structure: relaxed

Properties
symmetry = F-43m (216)
formation energy from the elements = 159 meV per atom
density of states at the Fermi level = 10.0 states/eV per cell

abc: 5.3759 5.3759 5.3759
angles: 60.00 60.00 60.00
With the nearest neighbours (Å) after each atom.
Positions (direct):
Sc  0.2500  0.2500  0.2500  4 Tm 3.29, 4 Pu 3.29
Tm  0.0000  0.0000  0.0000  4 Ce 3.29, 4 Sc 3.29
Ce  0.7500  0.7500  0.7500  4 Tm 3.29, 4 Pu 3.29
Pu  0.5000  0.5000  0.5000  4 Sc 3.29, 4 Ce 3.29



Compound: CePuScZn
Source: Alexandria
Functional: PBE-GGA
Structure: relaxed

Properties
symmetry = F-43m (216)
formation energy from the elements = -2 meV per atom
density of states at the Fermi level = 10.9 states/eV per cell

abc: 5.0682 5.0682 5.0682
angles: 60.00 60.00 60.00
With the nearest neighbours (Å) after each atom.
Positions (direct):
Sc  0.7500  0.7500  0.7500  4 Zn 3.10, 4 Pu 3.10
Zn  0.0000  0.0000  0.0000  4 Ce 3.10, 4 Sc 3.10
Ce  0.2500  0.2500  0.2500  4 Pu 3.10, 4 Zn 3.10
Pu  0.5000  0.5000  0.5000  4 Sc 3.10, 4 Ce 3.10



Compound: CePuZrSc
Source: Alexandria
Functional: PBE-GGA
Structure: relaxed

Properties
symmetry = F-43m (216)
formation energy from the elements = 150 meV per atom
density of states at the Fermi level = 13.4 states/eV per cell

abc: 5.2100 5.2100 5.2100
angles: 60.00 60.00 60.00
With the nearest neighbours (Å) after each atom.
Positions (direct):
Sc  0.0000  0.0000  0.0000  4 Zr 3.19, 4 Ce 3.19
Zr  0.7500  0.7500  0.7500  4 Sc 3.19, 4 Pu 3.19
Ce  0.2500  0.2500  0.2500  4 Sc 3.19, 4 Pu 3.19
Pu  0.5000  0.5000  0.5000  4 Zr 3.19, 4 Ce 3.19



Compound: Ce4Pu3Se8
Source: Alexandria
Functional: PBE-GGA
Structure: relaxed

Properties
symmetry = C2/m (12)
energy relative to the elements, uncorrected = -1.68 eV/atom
density of states at the Fermi level = 54.4 states/eV per cell

abc: 8.3693 8.3381 8.3381
angles: 90.00 120.13 120.13
With the nearest neighbours (Å) after each atom.
Positions (direct):
Ce  0.5000  0.0000  0.0000  6 Se 2.96-2.97
Ce  0.0000  0.5000  0.0000  6 Se 2.95
Ce  0.0000  0.0000  0.0000  6 Se 2.98-2.99
Ce  0.0000  0.0000  0.5000  6 Se 2.95
Pu  0.5000  0.5000  0.0000  6 Se 2.95
Pu  0.5000  0.0000  0.5000  6 Se 2.95
Pu  0.5000  0.5000  0.5000  6 Se 2.93-2.94
Se  0.5051  0.2535  0.2535  3 Pu 2.94-2.95, 2 Ce 2.96-2.98
Se  0.0000  0.7472  0.2528  2 Pu 2.95, 3 Ce 2.95-2.98
Se  0.0035  0.2553  0.2553  1 Pu 2.93, 4 Ce 2.95-2.99
Se  0.5000  0.7481  0.2519  3 Pu 2.93-2.95, 3 Ce 2.95-2.97
Se  0.5000  0.2519  0.7481  3 Pu 2.93-2.95, 3 Ce 2.95-2.97
Se  0.9965  0.7447  0.7447  1 Pu 2.93, 4 Ce 2.95-2.99
Se  0.0000  0.2528  0.7472  2 Pu 2.95, 3 Ce 2.95-2.98
Se  0.4949  0.7465  0.7465  3 Pu 2.94-2.95, 2 Ce 2.96-2.98



Compound: Ce2Pu3Se8
Source: Alexandria
Functional: PBE-GGA
Structure: relaxed

Properties
symmetry = Cmmm (65)
energy relative to the elements, uncorrected = -1.46 eV/atom
density of states at the Fermi level = 44.7 states/eV per cell

abc: 4.9532 10.0180 8.6628
angles: 125.33 90.00 90.00
With the nearest neighbours (Å) after each atom.
Positions (direct):
Ce  0.5000  0.2668  0.5335  8 Se 2.90-3.25
Ce  0.5000  0.7332  0.4665  8 Se 2.90-3.25
Pu  0.5000  0.0000  0.0000  8 Se 2.97-2.98
Pu  0.0000  0.2735  0.0000  8 Se 2.88-3.21
Pu  0.0000  0.7265  0.0000  8 Se 2.88-3.21
Se  0.0000  0.6259  0.2519  2 Pu 2.88, 2 Ce 2.90
Se  0.0000  0.3741  0.7481  2 Pu 2.88, 2 Ce 2.90
Se  0.0000  0.1179  0.2358  4 Pu 2.98-3.21, 2 Ce 3.25, 1 Se 3.33
Se  0.0000  0.8821  0.7642  4 Pu 2.98-3.21, 2 Ce 3.25, 1 Se 3.33
Se  0.5000  0.6371  0.7543  3 Pu 2.97-3.04, 2 Ce 3.04-3.15
Se  0.5000  0.1172  0.7543  3 Pu 2.97-3.04, 2 Ce 3.04-3.15
Se  0.5000  0.8828  0.2457  3 Pu 2.97-3.04, 2 Ce 3.04-3.15
Se  0.5000  0.3629  0.2457  3 Pu 2.97-3.04, 2 Ce 3.04-3.15



Compound: Ce3Pu4Se8
Source: Alexandria
Functional: PBE-GGA
Structure: relaxed

Properties
symmetry = C2/m (12)
energy relative to the elements, uncorrected = -1.64 eV/atom
density of states at the Fermi level = 55.8 states/eV per cell

abc: 8.3479 8.3391 8.3391
angles: 89.94 120.06 120.06
With the nearest neighbours (Å) after each atom.
Positions (direct):
Ce  0.5000  0.5000  0.0000  6 Se 2.95
Ce  0.5000  0.0000  0.5000  6 Se 2.95
Ce  0.5000  0.5000  0.5000  6 Se 2.95-2.97
Pu  0.5000  0.0000  0.0000  6 Se 2.93-2.94
Pu  0.0000  0.5000  0.0000  6 Se 2.95
Pu  0.0000  0.0000  0.0000  6 Se 2.94-2.95
Pu  0.0000  0.0000  0.5000  6 Se 2.95
Se  0.0009  0.7512  0.7512  4 Pu 2.94-2.95, 1 Ce 2.95
Se  0.0000  0.7504  0.2496  3 Pu 2.94-2.95, 2 Ce 2.95
Se  0.4988  0.7505  0.7505  2 Pu 2.94-2.95, 3 Ce 2.95-2.96
Se  0.5000  0.2483  0.7517  3 Pu 2.93-2.95, 3 Ce 2.95-2.97
Se  0.5000  0.7517  0.2483  3 Pu 2.93-2.95, 3 Ce 2.95-2.97
Se  0.5012  0.2495  0.2495  2 Pu 2.94-2.95, 3 Ce 2.95-2.96
Se  0.0000  0.2496  0.7504  3 Pu 2.94-2.95, 2 Ce 2.95
Se  0.9991  0.2488  0.2488  4 Pu 2.94-2.95, 1 Ce 2.95



Compound: CePu3Se4
Source: Alexandria
Functional: PBE-GGA
Structure: relaxed

Properties
symmetry = Cmmm (65)
energy relative to the elements, uncorrected = -1.60 eV/atom
ΔE to the lowest computed polymorph = 0.0 meV per atom
density of states at the Fermi level = 30.2 states/eV per cell

abc: 4.1758 7.2242 7.2242
angles: 109.54 90.00 90.00
With the nearest neighbours (Å) after each atom.
Positions (direct):
Se  0.0000  0.2547  0.2547  4 Pu 2.92-2.95, 2 Ce 2.98
Se  0.5000  0.7477  0.2523  5 Pu 2.92-2.95, 1 Ce 2.98
Se  0.0000  0.7453  0.7453  4 Pu 2.92-2.95, 2 Ce 2.98
Se  0.5000  0.2523  0.7477  5 Pu 2.92-2.95, 1 Ce 2.98
Ce  0.5000  0.0000  0.0000  6 Se 2.98
Pu  0.0000  0.0000  0.5000  6 Se 2.95
Pu  0.5000  0.5000  0.5000  6 Se 2.92
Pu  0.0000  0.5000  0.0000  6 Se 2.95



Compound: CePu6Se8
Source: Alexandria
Functional: PBE-GGA
Structure: relaxed

Properties
symmetry = Fm-3m (225)
energy relative to the elements, uncorrected = -1.57 eV/atom
density of states at the Fermi level = 64.8 states/eV per cell

abc: 8.3235 8.3235 8.3235
angles: 60.00 60.00 60.00
With the nearest neighbours (Å) after each atom.
Positions (direct):
Ce  0.0000  0.0000  0.0000  6 Se 2.96
Pu  0.0000  0.5000  0.5000  6 Se 2.94
Pu  0.5000  0.0000  0.0000  6 Se 2.94
Pu  0.5000  0.5000  0.0000  6 Se 2.94
Pu  0.0000  0.0000  0.5000  6 Se 2.94
Pu  0.0000  0.5000  0.0000  6 Se 2.94
Pu  0.5000  0.0000  0.5000  6 Se 2.94
Se  0.7500  0.7500  0.7500  6 Pu 2.94
Se  0.2500  0.2500  0.2500  6 Pu 2.94
Se  0.7483  0.2517  0.2517  4 Pu 2.94, 1 Ce 2.96
Se  0.2517  0.7483  0.7483  4 Pu 2.94, 1 Ce 2.96
Se  0.2517  0.2517  0.7483  4 Pu 2.94, 1 Ce 2.96
Se  0.7483  0.7483  0.2517  4 Pu 2.94, 1 Ce 2.96
Se  0.7483  0.2517  0.7483  4 Pu 2.94, 1 Ce 2.96
Se  0.2517  0.7483  0.2517  4 Pu 2.94, 1 Ce 2.96



- What is the formula in the second record?
  CePuScTl



- Which value of density of states at the Fermi level does entry 3 give?
  10.0 states/eV per cell